# Sc2CdPd

A relaxed structure of Sc2CdPd (PBE, the Open Quantum Materials Database).

```
Sc2CdPd
1.0
1.0552 -4.3670 -1.5057
0.2495 -3.5779 3.0964
-3.3276 -3.3731 -0.0042
Sc Pd Cd
2 1 1
Direct
0.5000 0.5000 0.5000
0.2500 0.2500 0.2500
0.0000 0.0000 0.0000
0.7500 0.7500 0.7500
```

Magnetization (μB per formula unit): 0.00
Volume (Å³/cell): 75
Calculated density (g cm⁻³): 6.82
ΔE_f (eV/atom): -0.443
Crystal system: cubic